(1)
An optimized crystal structure of NbZn2GePb. Source: Alexandria, functional GGA-PBE.

Computed properties:
formation enthalpy at 0 K = 0.966 eV/atom
V = 24.79 Å³/atom
VASP energy = -16.12 eV per cell
M_tot = 2.52 μB per formula unit

Lattice parameters (Å, degrees): 4.5828 5.9028 4.5828 90.00 90.00 90.00
Each line ends with the local moment (μB).
Sites, in units of the cell vectors:
Nb  0.5000  0.5000  0.5000  1.99
Pb  0.0000  0.5000  0.0000  -0.05
Zn  0.5000  0.0000  0.0000  0.02
Zn  0.0000  0.0000  0.5000  -0.01
Ge  0.0000  0.0000  0.0000  0.03



(2)
An optimized crystal structure of NbGePd. Source: Alexandria, functional GGA-PBE.

Computed properties:
formation enthalpy at 0 K = -0.352 eV/atom
V = 16.51 Å³/atom
VASP energy = -83.74 eV per cell
M_tot = 0.00 μB per formula unit

Lattice parameters (Å, degrees): 5.8416 3.7199 9.3029 90.00 101.45 90.00
Sites, in units of the cell vectors:
Ge  0.3625  0.0000  0.3051
Nb  0.5625  0.5000  0.1311
Ge  0.7988  0.0000  0.0196
Nb  0.8435  0.0000  0.3269
Pd  0.2357  0.0000  0.9684
Pd  0.2357  0.5000  0.4684
Ge  0.3625  0.5000  0.8051
Ge  0.7988  0.5000  0.5196
Pd  0.0906  0.5000  0.1615
Nb  0.5625  0.0000  0.6311
Nb  0.8435  0.5000  0.8269
Pd  0.0906  0.0000  0.6615



(3)
An optimized crystal structure of NbGe2Pd. Source: Alexandria, functional GGA-PBE.

Computed properties:
formation enthalpy at 0 K = -0.376 eV/atom
V = 16.99 Å³/atom
VASP energy = -104.01 eV per cell
M_tot = 0.00 μB per formula unit

Lattice parameters (Å, degrees): 3.6644 5.6675 13.0866 90.00 90.00 90.00
Sites, in units of the cell vectors:
Nb  0.7500  0.9939  0.1734
Ge  0.7500  0.8343  0.7020
Pd  0.2500  0.0126  0.5900
Nb  0.2500  0.5061  0.6734
Ge  0.2500  0.1657  0.2980
Pd  0.2500  0.5126  0.9100
Ge  0.2500  0.6657  0.4652
Ge  0.7500  0.3343  0.7980
Ge  0.7500  0.3343  0.5348
Ge  0.2500  0.6657  0.2020
Pd  0.7500  0.9874  0.4100
Ge  0.7500  0.8343  0.9652
Nb  0.2500  0.0061  0.8266
Pd  0.7500  0.4874  0.0900
Nb  0.7500  0.4939  0.3266
Ge  0.2500  0.1657  0.0348



(4)
An optimized crystal structure of NbGe2Pd. Source: Alexandria, functional GGA-PBE.

Computed properties:
formation enthalpy at 0 K = -0.315 eV/atom
V = 16.13 Å³/atom
VASP energy = -25.76 eV per cell
M_tot = 0.00 μB per formula unit

Lattice parameters (Å, degrees): 3.3247 4.4053 4.4053 90.00 90.00 90.00
Sites, in units of the cell vectors:
Nb  0.5000  0.5000  0.5000
Pd  0.5000  0.0000  0.0000
Ge  0.0000  0.5000  0.0000
Ge  0.0000  0.0000  0.5000



(5)
An optimized crystal structure of Nb2GePd6. Source: Alexandria, functional GGA-PBE.

Computed properties:
formation enthalpy at 0 K = -0.209 eV/atom
V = 16.94 Å³/atom
VASP energy = -57.79 eV per cell
M_tot = 0.00 μB per formula unit

Lattice parameters (Å, degrees): 4.0470 5.6610 7.2270 112.97 90.00 90.00
Sites, in units of the cell vectors:
Pd  0.0000  0.8952  0.2995
Pd  0.5000  0.2632  0.9999
Pd  0.0000  0.1048  0.7005
Ge  0.0000  0.0000  0.0000
Nb  0.5000  0.2585  0.5173
Pd  0.0000  0.5959  0.7006
Nb  0.5000  0.7415  0.4827
Pd  0.0000  0.4041  0.2994
Pd  0.5000  0.7368  0.0001



(6)
An optimized crystal structure of Nb2Ge4Pd. Source: Alexandria, functional GGA-PBE.

Computed properties:
formation enthalpy at 0 K = 0.435 eV/atom
V = 21.59 Å³/atom
VASP energy = -40.75 eV per cell
M_tot = 0.00 μB per formula unit

Lattice parameters (Å, degrees): 4.8071 4.8071 7.3715 70.97 70.97 90.00
Sites, in units of the cell vectors:
Nb  0.4002  0.4002  0.1996
Ge  0.1952  0.1952  0.6097
Ge  0.8048  0.8048  0.3903
Ge  0.0000  0.5000  0.0000
Pd  0.0000  0.0000  0.0000
Ge  0.5000  0.0000  0.0000
Nb  0.5998  0.5998  0.8004



(7)
An optimized crystal structure of NbGe2Pd. Source: Alexandria, functional GGA-PBE.

Computed properties:
formation enthalpy at 0 K = 0.047 eV/atom
V = 17.80 Å³/atom
VASP energy = -24.31 eV per cell
M_tot = 0.00 μB per formula unit

Lattice parameters (Å, degrees): 2.9681 2.9681 9.4880 81.00 81.00 60.00
Sites, in units of the cell vectors:
Pd  0.5000  0.5000  0.5000
Ge  0.0949  0.0949  0.7153
Nb  0.0000  0.0000  0.0000
Ge  0.9051  0.9051  0.2847



(8)
An optimized crystal structure of Nb2GePd2. Source: Alexandria, functional GGA-PBE.

Computed properties:
formation enthalpy at 0 K = 0.100 eV/atom
V = 18.01 Å³/atom
distance to the lowest polymorph of the same formula = 0.1310 eV per atom
VASP energy = -34.64 eV per cell
M_tot = 0.00 μB per formula unit

Lattice parameters (Å, degrees): 3.5818 3.5818 7.4616 76.11 76.11 90.00
Sites, in units of the cell vectors:
Nb  0.4013  0.4013  0.1975
Ge  0.0000  0.0000  0.0000
Pd  0.7500  0.2500  0.5000
Nb  0.5987  0.5987  0.8025
Pd  0.2500  0.7500  0.5000



(9)
An optimized crystal structure of Nb2Ge2Pd. Source: Alexandria, functional GGA-PBE.

Computed properties:
formation enthalpy at 0 K = -0.355 eV/atom
V = 16.52 Å³/atom
VASP energy = -72.69 eV per cell
M_tot = 0.00 μB per formula unit

Lattice parameters (Å, degrees): 6.6608 6.6608 3.7235 90.00 90.00 90.00
Sites, in units of the cell vectors:
Ge  0.3663  0.8663  0.0000
Nb  0.1701  0.6701  0.5000
Pd  0.5000  0.5000  0.0000
Nb  0.6701  0.8299  0.5000
Nb  0.3299  0.1701  0.5000
Ge  0.6337  0.1337  0.0000
Ge  0.1337  0.3663  0.0000
Ge  0.8663  0.6337  0.0000
Pd  0.0000  0.0000  0.0000
Nb  0.8299  0.3299  0.5000



(10)
An optimized crystal structure of NbGePd. Source: Alexandria, functional GGA-PBE.

Computed properties:
formation enthalpy at 0 K = -0.407 eV/atom
V = 16.30 Å³/atom
VASP energy = -42.20 eV per cell
M_tot = 0.00 μB per formula unit

Lattice parameters (Å, degrees): 3.0057 4.3475 7.5011 90.00 93.86 90.00
Sites, in units of the cell vectors:
Ge  0.3030  0.7500  0.2479
Pd  0.7416  0.7500  0.9296
Nb  0.1775  0.7500  0.6039
Ge  0.6970  0.2500  0.7521
Nb  0.8225  0.2500  0.3961
Pd  0.2584  0.2500  0.0704



(11)
An optimized crystal structure of Nb2GePd8. Source: Alexandria, functional GGA-PBE.

Computed properties:
formation enthalpy at 0 K = -0.378 eV/atom
V = 16.11 Å³/atom
VASP energy = -70.46 eV per cell
M_tot = 0.00 μB per formula unit

Lattice parameters (Å, degrees): 4.5997 5.6809 7.7046 111.62 107.37 90.00
Sites, in units of the cell vectors:
Pd  0.6370  0.4003  0.2739
Pd  0.0000  0.2548  0.9999
Pd  0.8133  0.8131  0.6266
Pd  0.0000  0.7452  0.0001
Nb  0.8099  0.3100  0.6197
Pd  0.1867  0.1869  0.3734
Pd  0.3629  0.1260  0.7258
Ge  0.5000  0.0000  0.0000
Nb  0.1901  0.6900  0.3803
Pd  0.6371  0.8740  0.2742
Pd  0.3630  0.5997  0.7261



(12)
An optimized crystal structure of Nb2GePd2. Source: Alexandria, functional GGA-PBE.

Computed properties:
formation enthalpy at 0 K = -0.031 eV/atom
V = 17.60 Å³/atom
distance to the lowest polymorph of the same formula = 0.0000 eV per atom
VASP energy = -70.59 eV per cell
M_tot = 0.00 μB per formula unit

Lattice parameters (Å, degrees): 7.8104 7.8104 2.8858 90.00 90.00 90.00
Sites, in units of the cell vectors:
Nb  0.6722  0.8278  0.5000
Ge  0.0000  0.0000  0.0000
Pd  0.6236  0.1236  0.0000
Pd  0.3764  0.8764  0.0000
Nb  0.8278  0.3278  0.5000
Nb  0.1722  0.6722  0.5000
Pd  0.8764  0.6236  0.0000
Nb  0.3278  0.1722  0.5000
Pd  0.1236  0.3764  0.0000
Ge  0.5000  0.5000  0.0000